Entry 1:
Compound: PuGaBRu3
Source: the Alexandria database
Functional: PBE
Structure: relaxed

Summary:
Final energy in eV per atom: -8.770
Symmetry: No. 63
E_form in kJ/mol of atoms: -12.17

Geometry as POSCAR:
```
PuGaBRu3
1.0
2.811 -5.901 0.000
2.811 5.901 0.000
0.000 0.000 5.804
Pu Ga B Ru
2 2 2 6
Direct
0.243 0.757 0.750 Pu
0.757 0.243 0.250 Pu
0.135 0.865 0.250 Ga
0.865 0.135 0.750 Ga
0.475 0.525 0.750 B
0.525 0.475 0.250 B
0.244 0.244 0.000 Ru
0.244 0.244 0.500 Ru
0.341 0.659 0.250 Ru
0.659 0.341 0.750 Ru
0.756 0.756 0.000 Ru
0.756 0.756 0.500 Ru
```

---

Entry 2:
Compound: InAg2Pb
Source: the Alexandria database
Functional: PBE
Structure: relaxed

Summary:
Final energy in eV per atom: -2.995
Symmetry: No. 6
E_form in kJ/mol of atoms: 4.13

Geometry as POSCAR:
```
InAg2Pb
1.0
3.633 0.000 0.000
0.000 4.663 0.000
-1.755 0.000 5.496
In Ag Pb
1 2 1
Direct
0.000 0.000 0.000 In
0.274 0.000 0.548 Ag
0.430 0.500 0.857 Ag
0.699 0.500 0.392 Pb
```

---

Entry 3:
Compound: PuPd3Au
Source: the Alexandria database
Functional: PBE
Structure: relaxed

Summary:
Final energy in eV per atom: -6.714
Symmetry: No. 161
Offset from the most stable computed form in meV/atom: 131
E_form in kJ/mol of atoms: -7.37

Geometry as POSCAR:
```
PuPd3Au
1.0
3.467 2.002 4.957
-3.467 2.002 4.957
0.000 -4.003 4.957
Pu Pd Au
2 6 2
Direct
0.000 0.000 0.000 Pu
0.500 0.500 0.500 Pu
0.140 0.939 0.410 Pd
0.410 0.140 0.939 Pd
0.439 0.640 0.910 Pd
0.640 0.910 0.439 Pd
0.910 0.439 0.640 Pd
0.939 0.410 0.140 Pd
0.309 0.309 0.309 Au
0.809 0.809 0.809 Au
```

---

Entry 4:
Compound: PmAgSn3
Source: the Alexandria database
Functional: PBE
Structure: relaxed

Summary:
Final energy in eV per atom: -4.186
Symmetry: No. 65
Offset from the most stable computed form in meV/atom: 90
E_form in kJ/mol of atoms: -25.45

Geometry as POSCAR:
```
PmAgSn3
1.0
2.425 -12.339 0.000
2.425 12.339 0.000
0.000 0.000 4.522
Pm Ag Sn
2 2 6
Direct
0.168 0.832 0.000 Pm
0.832 0.168 0.000 Pm
0.382 0.618 0.500 Ag
0.618 0.382 0.500 Ag
0.059 0.941 0.500 Sn
0.277 0.723 0.500 Sn
0.443 0.557 0.000 Sn
0.557 0.443 0.000 Sn
0.723 0.277 0.500 Sn
0.941 0.059 0.500 Sn
```

---

Entry 5:
Compound: NaSb2As2
Source: the Alexandria database
Functional: PBE
Structure: relaxed

Summary:
Final energy in eV per atom: -3.769
Symmetry: No. 139
Raw formation energy in eV/atom: 0.004
Offset from the most stable computed form in meV/atom: 31

Geometry as POSCAR:
```
NaSb2As2
1.0
5.412 0.000 0.000
0.000 5.412 0.000
0.000 0.000 9.603
Na Sb As
2 4 4
Direct
0.000 0.000 0.000 Na
0.500 0.500 0.500 Na
0.000 0.500 0.250 Sb
0.000 0.500 0.750 Sb
0.500 0.000 0.250 Sb
0.500 0.000 0.750 Sb
0.000 0.000 0.348 As
0.000 0.000 0.652 As
0.500 0.500 0.152 As
0.500 0.500 0.848 As
```

---

Entry 6:
Compound: MnZn6Au2
Source: the Alexandria database
Functional: PBE
Structure: relaxed

Summary:
Final energy in eV per atom: -2.675
Symmetry: No. 12
E_form in kJ/mol of atoms: -7.58

Geometry as POSCAR:
```
MnZn6Au2
1.0
5.879 -1.947 0.000
5.879 1.947 0.000
-2.277 0.000 6.087
Mn Zn Au
1 6 2
Direct
0.000 0.000 0.000 Mn
0.107 0.107 0.671 Zn
0.225 0.225 0.331 Zn
0.330 0.330 0.998 Zn
0.670 0.670 0.002 Zn
0.775 0.775 0.669 Zn
0.893 0.893 0.329 Zn
0.439 0.439 0.675 Au
0.561 0.561 0.325 Au
```

---

Entry 7:
Compound: RbPPt2S
Source: the Alexandria database
Functional: PBE
Structure: relaxed

Summary:
Final energy in eV per atom: -3.925
Symmetry: No. 123
Raw formation energy in eV/atom: 0.592

Geometry as POSCAR:
```
RbPPt2S
1.0
4.526 0.000 0.000
0.000 4.526 0.000
0.000 0.000 6.535
Rb P Pt S
1 1 2 1
Direct
0.000 0.000 0.000 Rb
0.500 0.500 0.000 P
0.000 0.500 0.500 Pt
0.500 0.000 0.500 Pt
0.000 0.000 0.500 S
```

---

Entry 8:
Compound: KHg3P
Source: the Alexandria database
Functional: PBE
Structure: relaxed

Summary:
Final energy in eV per atom: -1.610
Symmetry: No. 1
Offset from the most stable computed form in meV/atom: 14
E_form in kJ/mol of atoms: -12.33

Geometry as POSCAR:
```
KHg3P
1.0
6.071 0.000 0.000
0.240 6.849 0.000
0.285 2.065 7.177
K Hg P
2 6 2
Direct
0.000 0.000 0.000 K
0.028 0.367 0.419 K
0.248 0.532 0.910 Hg
0.488 0.138 0.188 Hg
0.509 0.636 0.301 Hg
0.548 0.277 0.702 Hg
0.717 0.867 0.560 Hg
0.755 0.528 0.956 Hg
0.114 0.870 0.441 P
0.314 0.919 0.660 P
```

---

Entry 9:
Compound: MgTa2Se
Source: the Alexandria database
Functional: PBE
Structure: relaxed

Summary:
Final energy in eV per atom: -6.869
Symmetry: No. 123
Raw formation energy in eV/atom: 0.327
Offset from the most stable computed form in meV/atom: 341

Geometry as POSCAR:
```
MgTa2Se
1.0
3.958 0.000 0.000
0.000 3.958 0.000
0.000 0.000 4.778
Mg Ta Se
1 2 1
Direct
0.000 0.000 0.000 Mg
0.000 0.500 0.500 Ta
0.500 0.000 0.500 Ta
0.500 0.500 0.000 Se
```

---

Entry 10:
Compound: NaSbO2F4
Source: the Alexandria database
Functional: PBE
Structure: relaxed

Summary:
Final energy in eV per atom: -4.509
Symmetry: No. 9
Raw formation energy in eV/atom: -1.653

Geometry as POSCAR:
```
NaSbO2F4
1.0
2.809 -4.720 0.000
2.809 4.720 0.000
-0.240 0.000 9.637
Na Sb O F
2 2 4 8
Direct
0.009 0.991 0.500 Na
0.991 0.009 0.000 Na
0.340 0.660 0.249 Sb
0.660 0.340 0.749 Sb
0.014 0.377 0.345 O
0.377 0.014 0.845 O
0.606 0.993 0.657 O
0.993 0.606 0.157 O
0.345 0.369 0.133 F
0.345 0.957 0.365 F
0.369 0.345 0.633 F
0.601 0.929 0.126 F
0.632 0.675 0.367 F
0.675 0.632 0.867 F
0.929 0.601 0.626 F
0.957 0.345 0.865 F
```

---

Entry 11:
Compound: RbMgSn4
Source: the Alexandria database
Functional: PBE
Structure: relaxed

Summary:
Final energy in eV per atom: -3.196
Symmetry: No. 191
Offset from the most stable computed form in meV/atom: 0
E_form in kJ/mol of atoms: -9.69

Geometry as POSCAR:
```
RbMgSn4
1.0
5.300 0.000 0.000
-2.650 4.590 0.000
0.000 0.000 8.067
Rb Mg Sn
1 1 4
Direct
0.000 0.000 0.000 Rb
0.000 0.000 0.500 Mg
0.333 0.667 0.315 Sn
0.333 0.667 0.685 Sn
0.667 0.333 0.315 Sn
0.667 0.333 0.685 Sn
```

---

Entry 12:
Compound: Ho2HgPb3
Source: the Alexandria database
Functional: PBE
Structure: relaxed

Summary:
Final energy in eV per atom: -3.812
Symmetry: No. 65
Offset from the most stable computed form in meV/atom: 0
E_form in kJ/mol of atoms: -36.78

Geometry as POSCAR:
```
Ho2HgPb3
1.0
4.546 0.000 0.000
0.000 15.561 0.000
0.000 0.000 4.627
Ho Hg Pb
4 2 6
Direct
0.000 0.150 0.000 Ho
0.000 0.850 0.000 Ho
0.500 0.350 0.000 Ho
0.500 0.650 0.000 Ho
0.000 0.000 0.500 Hg
0.500 0.500 0.500 Hg
0.000 0.326 0.500 Pb
0.000 0.500 0.000 Pb
0.000 0.674 0.500 Pb
0.500 0.000 0.000 Pb
0.500 0.174 0.500 Pb
0.500 0.826 0.500 Pb
```

---

Entry 13:
Compound: Na4Pr3PuO8
Source: the Alexandria database
Functional: PBE
Structure: relaxed

Summary:
Final energy in eV per atom: -7.112
Symmetry: No. 166
Raw formation energy in eV/atom: -2.511

Geometry as POSCAR:
```
Na4Pr3PuO8
1.0
3.599 2.078 5.654
-3.599 2.078 5.654
0.000 -4.156 5.654
Na Pr Pu O
4 3 1 8
Direct
0.000 0.000 0.000 Na
0.000 0.500 0.500 Na
0.500 0.000 0.500 Na
0.500 0.500 0.000 Na
0.000 0.000 0.500 Pr
0.000 0.500 0.000 Pr
0.500 0.000 0.000 Pr
0.500 0.500 0.500 Pu
0.240 0.240 0.240 O
0.247 0.735 0.735 O
0.265 0.265 0.753 O
0.265 0.753 0.265 O
0.735 0.247 0.735 O
0.735 0.735 0.247 O
0.753 0.265 0.265 O
0.760 0.760 0.760 O
```

---

Entry 14:
Compound: FeOsIN2
Source: the Alexandria database
Functional: PBE
Structure: relaxed

Summary:
Final energy in eV per atom: -5.851
Symmetry: No. 123
Raw formation energy in eV/atom: 1.727
Offset from the most stable computed form in meV/atom: 671

Geometry as POSCAR:
```
FeOsIN2
1.0
3.639 0.000 0.000
0.000 3.639 0.000
0.000 0.000 6.235
Fe Os I N
1 1 1 2
Direct
0.000 0.000 0.000 Fe
0.500 0.500 0.500 Os
0.000 0.000 0.500 I
0.000 0.500 0.000 N
0.500 0.000 0.000 N
```

---

Entry 15:
Compound: Li4TbTh3Se8
Source: the Alexandria database
Functional: PBE
Structure: relaxed

Summary:
Final energy in eV per atom: -5.425
Symmetry: No. 166
Raw formation energy in eV/atom: -1.524

Geometry as POSCAR:
```
Li4TbTh3Se8
1.0
4.078 2.355 6.670
-4.078 2.355 6.670
0.000 -4.709 6.670
Li Tb Th Se
4 1 3 8
Direct
0.000 0.000 0.000 Li
0.000 0.500 0.500 Li
0.500 0.000 0.500 Li
0.500 0.500 0.000 Li
0.500 0.500 0.500 Tb
0.000 0.000 0.500 Th
0.000 0.500 0.000 Th
0.500 0.000 0.000 Th
0.248 0.248 0.740 Se
0.248 0.740 0.248 Se
0.258 0.258 0.258 Se
0.260 0.752 0.752 Se
0.740 0.248 0.248 Se
0.742 0.742 0.742 Se
0.752 0.260 0.752 Se
0.752 0.752 0.260 Se
```

---

Entry 16:
Compound: AcSbPtRh
Source: the Alexandria database
Functional: PBE
Structure: relaxed

Summary:
Final energy in eV per atom: -6.059
Symmetry: No. 8
Raw formation energy in eV/atom: -0.653

Geometry as POSCAR:
```
AcSbPtRh
1.0
9.200 0.000 0.000
0.000 4.348 0.000
-2.179 0.000 4.875
Ac Sb Pt Rh
2 2 2 2
Direct
0.000 0.000 0.000 Ac
0.500 0.500 0.000 Ac
0.391 0.000 0.379 Sb
0.891 0.500 0.379 Sb
0.256 0.000 0.795 Pt
0.756 0.500 0.795 Pt
0.224 0.500 0.441 Rh
0.724 0.000 0.441 Rh
```

---

Entry 17:
Compound: Sr3Au
Source: the Alexandria database
Functional: PBE
Structure: relaxed

Summary:
Final energy in eV per atom: -2.116
Symmetry: No. 166
E_form in kJ/mol of atoms: -3.39

Geometry as POSCAR:
```
Sr3Au
1.0
11.798 0.000 0.000
-5.899 10.218 0.000
0.000 0.000 3.952
Sr Au
9 3
Direct
0.000 0.500 0.000 Sr
0.167 0.333 0.333 Sr
0.167 0.833 0.333 Sr
0.333 0.167 0.667 Sr
0.500 0.000 0.000 Sr
0.500 0.500 0.000 Sr
0.667 0.833 0.333 Sr
0.833 0.167 0.667 Sr
0.833 0.667 0.667 Sr
0.000 0.000 0.000 Au
0.333 0.667 0.667 Au
0.667 0.333 0.333 Au
```

---

Entry 18:
Compound: Na2Zn3CuSb4
Source: the Alexandria database
Functional: PBE
Structure: relaxed

Summary:
Final energy in eV per atom: -2.830
Symmetry: No. 115
Raw formation energy in eV/atom: -0.125

Geometry as POSCAR:
```
Na2Zn3CuSb4
1.0
4.678 0.000 0.000
0.000 4.678 0.000
0.000 0.000 11.244
Na Zn Cu Sb
2 3 1 4
Direct
0.000 0.500 0.227 Na
0.500 0.000 0.773 Na
0.000 0.000 0.000 Zn
0.000 0.500 0.639 Zn
0.500 0.000 0.361 Zn
0.500 0.500 0.000 Cu
0.000 0.000 0.500 Sb
0.000 0.500 0.872 Sb
0.500 0.000 0.128 Sb
0.500 0.500 0.500 Sb
```

---

Entry 19:
Compound: MnCr2Ni
Source: the Alexandria database
Functional: PBE
Structure: relaxed

Summary:
Final energy in eV per atom: -8.441
Symmetry: No. 123
E_form in kJ/mol of atoms: 10.47

Geometry as POSCAR:
```
MnCr2Ni
1.0
2.492 0.000 0.000
0.000 2.492 0.000
0.000 0.000 7.218
Mn Cr Ni
1 2 1
Direct
0.000 0.000 0.000 Mn
0.500 0.500 0.244 Cr
0.500 0.500 0.756 Cr
0.000 0.000 0.500 Ni
```

---

Entry 20:
Compound: TaBeCu2
Source: the Alexandria database
Functional: PBE
Structure: relaxed

Summary:
Final energy in eV per atom: -5.836
Symmetry: No. 6
E_form in kJ/mol of atoms: 10.34

Geometry as POSCAR:
```
TaBeCu2
1.0
2.622 0.000 0.000
0.000 3.801 0.000
-1.298 0.000 5.153
Ta Be Cu
1 1 2
Direct
0.000 0.000 0.000 Ta
0.620 0.500 0.245 Be
0.347 0.500 0.694 Cu
0.740 0.000 0.477 Cu
```

---

Entry 21:
Compound: CuSn2Br6
Source: the Alexandria database
Functional: PBE
Structure: relaxed

Summary:
Final energy in eV per atom: -3.020
Symmetry: No. 136
Raw formation energy in eV/atom: -0.560
Offset from the most stable computed form in meV/atom: 14

Geometry as POSCAR:
```
CuSn2Br6
1.0
6.744 0.000 0.000
0.000 6.744 0.000
0.000 0.000 12.720
Cu Sn Br
2 4 12
Direct
0.000 0.000 0.000 Cu
0.500 0.500 0.500 Cu
0.000 0.000 0.335 Sn
0.000 0.000 0.665 Sn
0.500 0.500 0.165 Sn
0.500 0.500 0.835 Sn
0.190 0.190 0.146 Br
0.190 0.190 0.854 Br
0.207 0.207 0.500 Br
0.293 0.707 0.000 Br
0.310 0.690 0.354 Br
0.310 0.690 0.646 Br
0.690 0.310 0.354 Br
0.690 0.310 0.646 Br
0.707 0.293 0.000 Br
0.793 0.793 0.500 Br
0.810 0.810 0.146 Br
0.810 0.810 0.854 Br
```

---

Entry 22:
Compound: Zn2NiMo
Source: the Alexandria database
Functional: PBE
Structure: relaxed

Summary:
Final energy in eV per atom: -4.708
Symmetry: No. 123
Offset from the most stable computed form in meV/atom: 139
E_form in kJ/mol of atoms: 7.94

Geometry as POSCAR:
```
Zn2NiMo
1.0
3.752 0.000 0.000
0.000 3.752 0.000
0.000 0.000 3.899
Zn Ni Mo
2 1 1
Direct
0.000 0.500 0.000 Zn
0.500 0.000 0.000 Zn
0.000 0.000 0.500 Ni
0.500 0.500 0.500 Mo
```

---

Entry 23:
Compound: CsBaSeN2
Source: the Alexandria database
Functional: PBE
Structure: relaxed

Summary:
Final energy in eV per atom: -3.413
Symmetry: No. 123
Raw formation energy in eV/atom: 1.170
Offset from the most stable computed form in meV/atom: 431

Geometry as POSCAR:
```
CsBaSeN2
1.0
4.850 0.000 0.000
0.000 4.850 0.000
0.000 0.000 6.870
Cs Ba Se N
1 1 1 2
Direct
0.000 0.000 0.000 Cs
0.500 0.500 0.500 Ba
0.000 0.000 0.500 Se
0.000 0.500 0.000 N
0.500 0.000 0.000 N
```

---

Entry 24:
Compound: Mn2V
Source: the Alexandria database
Functional: PBE
Structure: relaxed

Summary:
Final energy in eV per atom: -8.873
Symmetry: No. 141
E_form in kJ/mol of atoms: 26.98

Geometry as POSCAR:
```
Mn2V
1.0
2.871 0.000 0.000
0.000 2.871 0.000
0.000 0.000 18.170
Mn V
8 4
Direct
0.000 0.250 0.299 Mn
0.000 0.250 0.451 Mn
0.000 0.750 0.549 Mn
0.000 0.750 0.701 Mn
0.500 0.250 0.049 Mn
0.500 0.250 0.201 Mn
0.500 0.750 0.799 Mn
0.500 0.750 0.951 Mn
0.000 0.250 0.875 V
0.000 0.750 0.125 V
0.500 0.250 0.625 V
0.500 0.750 0.375 V
```